Computed, not measured: a PBEsol-optimized structure of Sc3Si3Ni at the SCAN level of DFT.

## Properties
**N(E_F)**: 3.3 states/eV/f.u.
**Uncorrected formation energy**: -892 meV per atom
**Symmetry**: No. 12
**Size of the total moment**: 0.00 Bohr magnetons per cell

Geometry as POSCAR:
```
Sc3Si3Ni
1.0
4.865 -1.973 0.000
4.865 1.973 0.000
-4.379 0.000 11.904
Sc Si Ni
6 6 2
Cartesian
-1.418 0.000 4.511
-3.056 0.000 10.960
1.368 0.000 2.695
3.982 0.000 9.209
8.407 0.000 0.944
6.768 0.000 7.393
1.574 0.000 5.409
-0.334 0.000 11.004
1.145 0.000 9.080
4.205 0.000 2.824
5.685 0.000 0.900
3.776 0.000 6.494
-0.115 0.000 7.091
5.465 0.000 4.812
```



Computed, not measured: a PBEsol-optimized structure of Zn2InGa2 at the SCAN level of DFT.

## Properties
**Calculated formation energy**: 122 meV per atom
**N(E_F)**: 2.0 states/eV/f.u.
**Energy above the most stable polymorph in this dataset**: 0.362 eV per formula unit
**Symmetry**: No. 127
**Size of the total moment**: 0.00 Bohr magnetons per cell

Geometry as POSCAR:
```
Zn2InGa2
1.0
8.027 0.000 0.000
0.000 8.027 0.000
0.000 0.000 2.828
Zn In Ga
4 2 4
Cartesian
1.254 2.759 0.000
2.759 6.773 0.000
5.267 1.254 0.000
6.773 5.267 0.000
0.000 0.000 1.414
4.013 4.013 1.414
1.119 5.132 1.414
2.894 1.119 1.414
5.132 6.908 1.414
6.908 2.894 1.414
```



Computed, not measured: a PBEsol-optimized structure of LaTiSeN2 at the SCAN level of DFT.

## Properties
**N(E_F)**: 2.7 states/eV/f.u.
**Uncorrected formation energy**: 420 meV per atom
**Symmetry**: No. 123
**Size of the total moment**: 1.62 Bohr magnetons per cell

Geometry as POSCAR:
```
LaTiSeN2
1.0
4.100 0.000 0.000
0.000 4.100 0.000
0.000 0.000 6.002
La Ti Se N
1 1 1 2
Cartesian
0.000 0.000 0.000
2.050 2.050 3.001
0.000 0.000 3.001
0.000 2.050 0.000
2.050 0.000 0.000
```



Computed, not measured: a PBEsol-optimized structure of AlPNCl5 at the SCAN level of DFT.

## Properties
**N(E_F)**: 0.0 states/eV/f.u.
**Uncorrected formation energy**: -1178 meV per atom
**Symmetry**: No. 2
**Size of the total moment**: 0.00 Bohr magnetons per cell

Geometry as POSCAR:
```
AlPNCl5
1.0
7.307 0.000 0.000
3.000 7.923 0.000
1.979 3.020 7.754
Al P N Cl
2 2 2 10
Cartesian
2.605 4.536 2.875
9.680 6.407 4.879
4.234 3.969 5.546
8.051 6.974 2.208
3.300 4.785 4.611
8.985 6.158 3.143
3.640 8.099 5.048
6.453 10.183 6.215
4.732 4.988 7.171
4.060 4.598 1.337
6.348 7.535 3.065
5.938 3.408 4.690
8.225 6.345 6.417
7.553 5.955 0.583
5.832 0.760 1.539
8.645 2.845 2.706
```



Computed, not measured: a PBEsol-optimized structure of CsHg3Pd at the SCAN level of DFT.

## Properties
**Calculated formation energy**: -344 meV per atom
**N(E_F)**: 1.5 states/eV/f.u.
**Symmetry**: No. 221
**Size of the total moment**: 0.00 Bohr magnetons per cell

Geometry as POSCAR:
```
CsHg3Pd
1.0
5.307 0.000 0.000
0.000 5.307 0.000
0.000 0.000 5.307
Cs Hg Pd
1 3 1
Cartesian
0.000 0.000 0.000
0.000 2.653 2.653
2.653 0.000 2.653
2.653 2.653 0.000
2.653 2.653 2.653
```



Computed, not measured: a PBEsol-optimized structure of KNaLi2Ca at the SCAN level of DFT.

## Properties
**Calculated formation energy**: 333 meV per atom
**N(E_F)**: 3.4 states/eV/f.u.
**Symmetry**: No. 123
**Size of the total moment**: 0.10 Bohr magnetons per cell

Geometry as POSCAR:
```
KNaLi2Ca
1.0
5.765 0.000 0.000
0.000 5.765 0.000
0.000 0.000 6.316
K Na Li Ca
1 1 2 1
Cartesian
0.000 0.000 0.000
2.883 2.883 3.158
0.000 2.883 3.158
2.883 0.000 3.158
2.883 2.883 0.000
```